(1)
CrNiMo2 | the Alexandria database | PBE-GGA | relaxed; symmetry = No. 225; raw total energy = -36.21 eV for the cell shown; E above lowest polymorph = 121 meV/atom
1.0
2.639 0.016 3.346
-1.575 0.181 3.956
0.235 -3.410 2.545
Ni Mo Cr
1 2 1
Direct
0.500 0.500 0.500
0.250 0.250 0.250
0.750 0.750 0.750
0.000 0.000 0.000


(2)
CrNi2Mo2 | the Alexandria database | PBE-GGA | relaxed; symmetry = No. 127; raw total energy = -83.06 eV for the cell shown
1.0
-5.537 2.794 -1.105
-2.709 -3.640 4.370
0.694 2.304 2.350
Ni Mo Cr
4 4 2
Direct
0.372 0.872 0.000
0.872 0.628 0.000
0.628 0.128 0.000
0.128 0.372 0.000
0.175 0.675 0.500
0.675 0.825 0.500
0.825 0.325 0.500
0.325 0.175 0.500
0.000 0.000 0.000
0.500 0.500 0.000


(3)
CrNi2Mo | the Alexandria database | PBE-GGA | relaxed; symmetry = No. 123; raw total energy = -31.96 eV for the cell shown; E above lowest polymorph = 0 meV/atom
1.0
3.601 0.000 0.000
0.000 3.597 0.000
0.000 0.000 3.802
Ni Mo Cr
2 1 1
Direct
0.000 0.000 0.000
0.500 0.500 0.000
0.000 0.500 0.500
0.500 0.000 0.500


(4)
CrNiMo2 | the Alexandria database | PBE-GGA | relaxed; symmetry = No. 44; raw total energy = -36.43 eV for the cell shown; E above lowest polymorph = 66 meV/atom
1.0
4.879 0.003 -0.003
2.034 4.434 0.003
-3.078 -2.808 2.538
Cr Mo Ni
1 2 1
Direct
0.241 0.741 0.500
0.009 0.009 0.000
0.757 0.257 0.500
0.493 0.493 0.000


(5)
CrNi2Mo | the Alexandria database | PBE-GGA | relaxed; symmetry = No. 225; raw total energy = -30.67 eV for the cell shown; E above lowest polymorph = 324 meV/atom
1.0
-3.111 -2.726 0.070
-3.504 0.807 -2.047
-0.946 -2.147 -3.408
Ni Mo Cr
2 1 1
Direct
0.250 0.250 0.250
0.750 0.750 0.750
0.500 0.500 0.500
0.000 0.000 0.000


(6)
CrNiMo2 | the Alexandria database | PBE-GGA | relaxed; symmetry = No. 166; raw total energy = -35.75 eV for the cell shown; E above lowest polymorph = 236 meV/atom
1.0
9.230 0.020 0.012
8.842 2.648 0.012
8.842 1.305 2.303
Cr Mo Ni
1 2 1
Direct
0.750 0.750 0.750
0.998 0.998 0.998
0.502 0.502 0.502
0.250 0.250 0.250


(7)
CrNiMo2 | the Alexandria database | PBE-GGA | relaxed; symmetry = No. 6; raw total energy = -36.54 eV for the cell shown; E above lowest polymorph = 39 meV/atom
1.0
-2.746 3.295 -0.541
0.013 -0.411 -2.567
-3.759 -3.162 -0.172
Cr Mo Ni
1 2 1
Direct
0.500 0.691 0.763
0.000 0.978 0.975
0.500 0.218 0.271
0.000 0.613 0.491


(8)
CrNiMo2 | the Alexandria database | PBE-GGA | relaxed; symmetry = No. 71; raw total energy = -36.47 eV for the cell shown; E above lowest polymorph = 58 meV/atom
1.0
-3.186 -3.276 -0.671
0.487 -1.573 -4.315
2.811 0.432 3.638
Cr Mo Ni
1 2 1
Direct
0.250 0.750 0.500
0.013 0.013 0.000
0.487 0.487 0.000
0.750 0.250 0.500


Calculated formation enthalpy at 0 K, 82 127 5 61 130 127 51 58 kJ/mol of formula units (same order as the records).